# 1
Ac7Ga2Pb2, relaxed, DFT PBE-GGA; energy of formation from the pure elements = -0.1844 eV/atom; total moment = 0.00 μB/f.u.
1.0
7.518 -0.003 -0.925
0.004 7.920 0.003
-1.392 -0.002 7.446
Ac Ga Pb
7 2 2
Direct
0.000 0.276 0.500 Ac
0.500 0.724 0.000 Ac
0.000 0.724 0.500 Ac
0.500 0.276 0.000 Ac
0.000 0.000 0.000 Ac
0.500 0.759 0.500 Ac
0.500 0.241 0.500 Ac
0.718 0.000 0.282 Ga
0.282 0.000 0.718 Ga
0.824 0.500 0.824 Pb
0.176 0.500 0.176 Pb


# 2
Ac6GaPb6, relaxed, DFT PBE-GGA; energy of formation from the pure elements = -0.3902 eV/atom; total moment = 0.00 μB/f.u.
1.0
7.040 0.000 0.000
-3.520 6.097 0.000
0.000 0.000 11.296
Ac Ga Pb
6 1 6
Direct
0.000 0.000 0.715 Ac
0.000 0.000 0.285 Ac
0.333 0.667 0.000 Ac
0.667 0.333 0.000 Ac
0.333 0.667 0.500 Ac
0.667 0.333 0.500 Ac
0.000 0.000 0.000 Ga
0.000 0.500 0.749 Pb
0.500 0.000 0.749 Pb
0.500 0.500 0.749 Pb
0.500 0.000 0.251 Pb
0.000 0.500 0.251 Pb
0.500 0.500 0.251 Pb


# 3
Ac4GaPb, relaxed, DFT PBE-GGA; energy of formation from the pure elements = -0.3027 eV/atom; total moment = 0.98 μB/f.u.; energy above the most stable polymorph in this dataset = 0 meV per atom
1.0
7.399 0.000 0.000
0.000 7.925 0.000
0.000 0.000 7.925
Ac Ga Pb
8 2 2
Direct
0.000 0.184 0.664 Ac
0.000 0.816 0.336 Ac
0.000 0.336 0.184 Ac
0.000 0.664 0.816 Ac
0.500 0.816 0.664 Ac
0.500 0.184 0.336 Ac
0.500 0.664 0.184 Ac
0.500 0.336 0.816 Ac
0.250 0.500 0.500 Ga
0.750 0.500 0.500 Ga
0.250 0.000 0.000 Pb
0.750 0.000 0.000 Pb


# 4
Ac6GaPb2, relaxed, DFT PBE-GGA; energy of formation from the pure elements = -0.2252 eV/atom; total moment = 0.00 μB/f.u.
1.0
5.598 0.000 -0.206
0.000 7.975 0.000
-2.494 -3.988 8.456
Ac Ga Pb
6 1 2
Direct
0.162 0.405 0.325 Ac
0.838 0.080 0.675 Ac
0.838 0.595 0.675 Ac
0.500 0.231 0.000 Ac
0.162 0.920 0.325 Ac
0.500 0.769 0.000 Ac
0.000 0.000 0.000 Ga
0.664 0.664 0.328 Pb
0.336 0.336 0.672 Pb


# 5
Ac2GaPb2, relaxed, DFT PBE-GGA; energy of formation from the pure elements = -0.4023 eV/atom; total moment = 0.00 μB/f.u.; energy above the most stable polymorph in this dataset = 100 meV per atom
1.0
4.815 0.000 0.000
0.000 7.596 0.000
-2.408 0.000 9.567
Ac Ga Pb
4 2 4
Direct
0.984 0.732 0.969 Ac
0.789 0.414 0.577 Ac
0.211 0.914 0.423 Ac
0.016 0.232 0.031 Ac
0.410 0.067 0.819 Ga
0.590 0.567 0.181 Ga
0.412 0.457 0.824 Pb
0.833 0.965 0.666 Pb
0.167 0.465 0.334 Pb
0.588 0.957 0.176 Pb


# 6
Ac2GaPb, relaxed, DFT PBE-GGA; energy of formation from the pure elements = -0.4495 eV/atom; total moment = 0.00 μB/f.u.
1.0
3.843 0.000 0.000
0.000 3.843 0.000
0.000 0.000 8.934
Pb Ac Ga
1 2 1
Direct
0.500 0.500 0.500 Pb
0.000 0.000 0.771 Ac
0.000 0.000 0.229 Ac
0.500 0.500 0.000 Ga